Compound: MgAl2C2
Source: Alexandria via LeMat-Bulk
Functional: PBEsol
Structure: optimized geometry

Geometry as extended XYZ:
```
5
Lattice="3.377 0.000 0.000 -1.689 2.925 0.000 0.000 0.000 5.774" Properties=species:S:1:pos:R:3 pbc="T T T"
Mg 0.000 0.000 0.000
Al 0.000 1.950 3.753
Al 1.689 0.975 2.021
C 0.000 1.950 1.556
C 1.689 0.975 4.218
```

Computed properties:
The volume is 57.03 Å³/cell. As for the formation energy: -0.40 eV per formula unit. The density of states at the Fermi level comes out at 0.00 states/eV/atom. For the density, the calculation gives 2.98 g/cm3.

***

Compound: InPb2
Source: Alexandria via LeMat-Bulk
Functional: PBEsol
Structure: optimized geometry

Geometry as extended XYZ:
```
6
Lattice="5.435 0.000 0.000 -2.717 4.707 0.000 0.000 0.000 6.630" Properties=species:S:1:pos:R:3 pbc="T T T"
In 0.000 3.138 1.657
In 2.717 1.569 4.972
Pb 0.000 0.000 0.000
Pb 0.000 0.000 3.315
Pb 0.000 3.138 4.972
Pb 2.717 1.569 1.657
```

Computed properties:
The volume is 169.59 Å³/cell. As for the formation energy: 0.13 eV per formula unit. The density of states at the Fermi level comes out at 0.50 states/eV/atom. For the density, the calculation gives 10.36 g/cm3.

***

Compound: Cs3PdRh
Source: Alexandria via LeMat-Bulk
Functional: PBEsol
Structure: optimized geometry

Geometry as extended XYZ:
```
5
Lattice="5.665 0.000 0.000 0.000 5.665 0.000 0.000 0.000 5.665" Properties=species:S:1:pos:R:3 pbc="T T T"
Cs 0.000 0.000 2.832
Cs 0.000 2.832 0.000
Cs 2.832 0.000 0.000
Pd 2.832 2.832 2.832
Rh 0.000 0.000 0.000
```

Computed properties:
The volume is 181.76 Å³/cell. As for the formation energy: 3.36 eV per formula unit. The density of states at the Fermi level comes out at 1.93 states/eV/atom. For the density, the calculation gives 5.56 g/cm3.

***

Compound: Li2Co3O6
Source: Alexandria via LeMat-Bulk
Functional: PBEsol
Structure: optimized geometry

Geometry as extended XYZ:
```
22
Lattice="4.822 0.000 0.000 2.406 4.179 0.000 0.807 1.388 9.481" Properties=species:S:1:pos:R:3 pbc="T T T"
Li 0.403 0.694 2.295
Li 7.632 4.873 7.185
Li 2.809 2.084 2.333
Li 5.226 3.483 7.147
Co 0.404 0.694 4.740
Co 1.203 2.090 0.000
Co 2.813 2.087 4.812
Co 3.630 3.492 0.000
Co 4.405 2.075 9.480
Co 5.222 3.480 4.668
O 2.031 3.483 0.968
O 1.245 2.057 3.764
O 3.567 3.461 3.764
O 1.993 0.722 0.995
O 3.631 3.500 8.511
O 4.410 4.823 5.717
O 3.625 0.744 3.763
O 4.404 2.067 0.969
O 6.041 4.845 8.486
O 4.467 2.106 5.717
O 6.790 3.509 5.716
O 6.004 2.083 8.512
```

Computed properties:
The volume is 191.05 Å³/cell. Its formation energy without anion corrections is -1387 meV/atom. The density of states at the Fermi level comes out at 0.76 states/eV/atom. For the density, the calculation gives 4.98 g/cm3.

***

Q: Which DFT total energy values were calculated for the entries above? A: -5.918, -3.617, -2.713, -6.718, in eV/atom.